# Mo2SO

A PBEsol-optimized structure of Mo2SO (SCAN, Alexandria via LeMat-Bulk).

Properties
As for the raw formation energy: -222 meV per atom.

Unit cell a=5.717 b=5.717 c=5.717 alpha=90.00 beta=90.00 gamma=90.00
Space group Fm-3m (No. 225)
Inequivalent atoms, fractional coordinates:
1 Mo 0.250 0.250 0.250 [8 per cell]
2 S 0.000 0.000 0.000 [4 per cell]
3 O 0.000 0.000 0.500 [4 per cell]